[1]
Compound: LiNpSnTe3
Source: the Alexandria database
Functional: PBE
Structure: optimized geometry

Summary:
space group	P2_1/m
total magnetic moment	4.00	μB per formula unit
E	-5.27	eV/atom
formation energy from raw total energies	-556	meV per atom

abc: 9.287 4.255 9.654
angles: 90.00 102.68 90.00
Atoms (fractional coordinates):
Li1 0.088 0.250 0.086
Li2 0.912 0.750 0.914
Np1 0.171 0.250 0.722
Np2 0.829 0.750 0.278
Sn1 0.340 0.750 0.330
Sn2 0.660 0.250 0.670
Te1 0.093 0.250 0.376
Te2 0.219 0.750 0.980
Te3 0.406 0.750 0.661
Te4 0.594 0.250 0.339
Te5 0.781 0.250 0.020
Te6 0.907 0.750 0.624

=====

[2]
Compound: LiNpSn2Te4
Source: the Alexandria database
Functional: PBE
Structure: optimized geometry

Summary:
space group	P2/m
total magnetic moment	4.00	μB per formula unit
E	-4.91	eV/atom
formation energy from raw total energies	-483	meV per atom

abc: 7.657 4.454 7.840
angles: 90.00 108.87 90.00
Atoms (fractional coordinates):
Li1 0.000 0.000 0.000
Np1 0.500 0.500 0.000
Sn1 0.000 0.500 0.500
Sn2 0.500 0.000 0.500
Te1 0.244 0.500 0.238
Te2 0.251 0.000 0.761
Te3 0.749 0.000 0.239
Te4 0.756 0.500 0.762